# 1
ZnBiPd3 | SCAN | PBEsol geometry

Properties
magnetization: 0.0 μB/f.u.
energy of formation: 0.8081 eV/atom
symmetry: No. 221
final energy: -37.28 eV per atom

abc: 4.9570 4.9570 4.9570
angles: 90.00 90.00 90.00
Closest atoms and distances in Å follow each position.
Positions (direct):
Zn 0.0000 0.0000 0.0000  12 Pd 3.51
Bi 0.5000 0.5000 0.5000  6 Pd 2.48
Pd 0.0000 0.5000 0.5000  2 Bi 2.48
Pd 0.5000 0.0000 0.5000  2 Bi 2.48
Pd 0.5000 0.5000 0.0000  2 Bi 2.48

# 2
ZrBiPd3 | SCAN | PBEsol geometry

Properties
magnetization: 0.0 μB/f.u.
energy of formation: 0.4845 eV/atom
symmetry: No. 221
final energy: -41.04 eV per atom

abc: 4.8453 4.8453 4.8453
angles: 90.00 90.00 90.00
Closest atoms and distances in Å follow each position.
Positions (direct):
Zr 0.0000 0.0000 0.0000  6 Pd 2.42
Bi 0.5000 0.5000 0.5000  12 Pd 3.43
Pd 0.0000 0.0000 0.5000  2 Zr 2.42
Pd 0.0000 0.5000 0.0000  2 Zr 2.42
Pd 0.5000 0.0000 0.0000  2 Zr 2.42

# 3
PmBiRh2 | SCAN | PBEsol geometry

Properties
magnetization: 0.5 μB/f.u.
energy of formation: -0.5002 eV/atom
symmetry: No. 225
final energy: -48.03 eV per atom

abc: 4.7839 4.7839 4.7839
angles: 60.00 60.00 60.00
Closest atoms and distances in Å follow each position.
Positions (direct):
Pm 0.0000 0.0000 0.0000  8 Rh 2.93
Bi 0.5000 0.5000 0.5000  8 Rh 2.93
Rh 0.2500 0.2500 0.2500  4 Bi 2.93, 4 Pm 2.93
Rh 0.7500 0.7500 0.7500  4 Bi 2.93, 4 Pm 2.93

# 4
PrBi3 | SCAN | PBEsol geometry

Properties
magnetization: 0.0 μB/f.u.
energy of formation: -0.5147 eV/atom
symmetry: No. 139
final energy: -70.28 eV per atom

abc: 6.4106 6.4106 6.4106
angles: 137.23 137.23 62.08
Closest atoms and distances in Å follow each position.
Positions (direct):
Pr 0.0000 0.0000 0.0000  12 Bi 3.31-3.61
Bi 0.2500 0.7500 0.5000  8 Bi 3.31-3.61, 4 Pr 3.61
Bi 0.5000 0.5000 0.0000  4 Pr 3.31, 8 Bi 3.61
Bi 0.7500 0.2500 0.5000  8 Bi 3.31-3.61, 4 Pr 3.61